Run P
Here is Ca2ZrAg2 after structural relaxation from Alexandria via LeMat-Bulk. Energies are from PBE.

a = 4.545 Å, b = 4.545 Å, c = 7.227 Å
α = 71.68°, β = 71.68°, γ = 90.00°
Positions (direct):
Ca: 0.750 0.250 0.500
Ca: 0.250 0.750 0.500
Zr: 0.000 0.000 0.000
Ag: 0.400 0.400 0.199
Ag: 0.600 0.600 0.801



Run Q
Here is Ca2ZrAg2 after structural relaxation from Alexandria via LeMat-Bulk. Energies are from PBE.

a = 7.453 Å, b = 7.453 Å, c = 4.704 Å
α = 90.00°, β = 90.00°, γ = 90.00°
Positions (direct):
Ca: 0.172 0.672 0.500
Ca: 0.672 0.828 0.500
Ca: 0.828 0.328 0.500
Ca: 0.328 0.172 0.500
Zr: 0.000 0.000 0.000
Zr: 0.500 0.500 0.000
Ag: 0.367 0.867 0.000
Ag: 0.867 0.633 0.000
Ag: 0.633 0.133 0.000
Ag: 0.133 0.367 0.000



Least stable: run P



Run P
Here is CdAg2 after structural relaxation from Alexandria via LeMat-Bulk. Energies are from PBE.

a = 6.601 Å, b = 6.601 Å, c = 6.601 Å
α = 90.00°, β = 90.00°, γ = 90.00°
Positions (direct):
Ag: 0.122 0.622 0.878
Ag: 0.122 0.878 0.378
Ag: 0.378 0.122 0.878
Ag: 0.378 0.378 0.378
Ag: 0.622 0.622 0.622
Ag: 0.622 0.878 0.122
Ag: 0.878 0.122 0.622
Ag: 0.878 0.378 0.122
Cd: 0.000 0.000 0.000
Cd: 0.000 0.500 0.500
Cd: 0.500 0.000 0.500
Cd: 0.500 0.500 0.000



Run Q
Here is CdAg2 after structural relaxation from Alexandria via LeMat-Bulk. Energies are from PBE.

a = 5.414 Å, b = 5.414 Å, c = 5.414 Å
α = 106.25°, β = 106.25°, γ = 116.13°
Positions (direct):
Cd: 0.750 0.750 0.000
Cd: 0.250 0.250 0.000
Ag: 0.651 0.151 0.802
Ag: 0.151 0.349 0.500
Ag: 0.849 0.651 0.500
Ag: 0.349 0.849 0.198



Run R
Here is CdAg2 after structural relaxation from Alexandria via LeMat-Bulk. Energies are from PBE.

a = 5.573 Å, b = 5.573 Å, c = 10.889 Å
α = 138.68°, β = 138.68°, γ = 32.67°
Positions (direct):
Ag: 0.986 0.986 0.984
Ag: 0.115 0.115 0.731
Ag: 0.330 0.330 0.658
Ag: 0.459 0.459 0.405
Cd: 0.671 0.671 0.328
Cd: 0.774 0.774 0.061



Run S
Here is CdAg2 after structural relaxation from Alexandria via LeMat-Bulk. Energies are from PBE.

a = 5.629 Å, b = 5.629 Å, c = 17.596 Å
α = 90.00°, β = 90.00°, γ = 60.00°
Positions (direct):
Ag: 0.333 0.333 0.126
Ag: 0.667 0.667 0.874
Ag: 0.667 0.667 0.626
Ag: 0.333 0.333 0.374
Ag: 0.500 0.500 0.000
Ag: 0.000 0.500 0.000
Ag: 0.500 0.000 0.000
Ag: 0.500 0.500 0.500
Ag: 0.000 0.500 0.500
Ag: 0.500 0.000 0.500
Ag: 0.162 0.162 0.250
Ag: 0.676 0.162 0.250
Ag: 0.162 0.676 0.250
Ag: 0.838 0.838 0.750
Ag: 0.324 0.838 0.750
Ag: 0.838 0.324 0.750
Cd: 0.000 0.000 0.095
Cd: 0.000 0.000 0.905
Cd: 0.000 0.000 0.595
Cd: 0.000 0.000 0.405
Cd: 0.333 0.333 0.846
Cd: 0.667 0.667 0.154
Cd: 0.667 0.667 0.346
Cd: 0.333 0.333 0.654



Least stable: run P



Run P
Here is CdAg2 after structural relaxation from Alexandria via LeMat-Bulk. Energies are from PBE.

a = 6.431 Å, b = 6.431 Å, c = 6.431 Å
α = 152.50°, β = 152.50°, γ = 39.28°
Positions (direct):
Ag: 0.002 0.002 0.000
Ag: 0.664 0.664 0.000
Cd: 0.333 0.333 0.000



Run Q
Here is CdAg2 after structural relaxation from Alexandria via LeMat-Bulk. Energies are from PBE.

a = 2.940 Å, b = 4.393 Å, c = 19.421 Å
α = 90.00°, β = 90.00°, γ = 90.00°
Positions (direct):
Ag: 0.000 0.250 0.043
Ag: 0.000 0.250 0.188
Ag: 0.000 0.750 0.812
Ag: 0.000 0.750 0.957
Ag: 0.500 0.250 0.312
Ag: 0.500 0.250 0.457
Ag: 0.500 0.750 0.543
Ag: 0.500 0.750 0.688
Cd: 0.000 0.250 0.614
Cd: 0.000 0.750 0.386
Cd: 0.500 0.250 0.886
Cd: 0.500 0.750 0.114



Run R
Here is CdAg2 after structural relaxation from Alexandria via LeMat-Bulk. Energies are from PBE.

a = 4.770 Å, b = 4.770 Å, c = 5.834 Å
α = 90.00°, β = 90.00°, γ = 120.00°
Positions (direct):
Ag: 0.000 0.000 0.000
Ag: 0.000 0.000 0.500
Ag: 0.333 0.667 0.250
Ag: 0.667 0.333 0.750
Cd: 0.333 0.667 0.750
Cd: 0.667 0.333 0.250



Run S
Here is CdAg2 after structural relaxation from Alexandria via LeMat-Bulk. Energies are from PBE.

a = 5.165 Å, b = 5.165 Å, c = 4.918 Å
α = 90.00°, β = 90.00°, γ = 120.80°
Positions (direct):
Ag: 0.506 0.842 0.250
Ag: 0.494 0.158 0.750
Ag: 0.842 0.506 0.250
Ag: 0.158 0.494 0.750
Cd: 0.180 0.180 0.250
Cd: 0.820 0.820 0.750



Least stable: run Q



Run P
Here is CdAg2 after structural relaxation from Alexandria via LeMat-Bulk. Energies are from PBE.

a = 5.581 Å, b = 5.581 Å, c = 10.883 Å
α = 140.63°, β = 140.63°, γ = 34.94°
Positions (direct):
Ag: 0.985 0.985 0.972
Ag: 0.125 0.125 0.748
Ag: 0.322 0.322 0.640
Ag: 0.652 0.652 0.306
Cd: 0.463 0.463 0.425
Cd: 0.786 0.786 0.074



Run Q
Here is CdAg2 after structural relaxation from Alexandria via LeMat-Bulk. Energies are from PBE.

a = 4.592 Å, b = 4.592 Å, c = 4.592 Å
α = 60.00°, β = 60.00°, γ = 60.00°
Positions (direct):
Ag: 0.750 0.750 0.750
Ag: 0.250 0.250 0.250
Cd: 0.000 0.000 0.000



Least stable: run Q



Run P
Here is CdAg2 after structural relaxation from Alexandria via LeMat-Bulk. Energies are from PBE.

a = 13.775 Å, b = 13.775 Å, c = 13.775 Å
α = 167.75°, β = 167.75°, γ = 17.35°
Positions (direct):
Cd: 0.750 0.250 0.500
Cd: 0.000 0.000 0.000
Ag: 0.420 0.420 0.000
Ag: 0.580 0.580 0.000
Ag: 0.170 0.670 0.500
Ag: 0.330 0.830 0.500



Run Q
Here is CdAg2 after structural relaxation from Alexandria via LeMat-Bulk. Energies are from PBE.

a = 4.165 Å, b = 4.165 Å, c = 13.353 Å
α = 98.97°, β = 98.97°, γ = 90.00°
Positions (direct):
Ag: 0.250 0.250 0.500
Ag: 0.750 0.750 0.500
Ag: 0.500 0.000 0.000
Ag: 0.000 0.500 0.000
Ag: 0.417 0.417 0.834
Ag: 0.583 0.583 0.166
Ag: 0.667 0.167 0.334
Ag: 0.833 0.333 0.666
Cd: 0.081 0.081 0.162
Cd: 0.919 0.919 0.838
Cd: 0.331 0.831 0.662
Cd: 0.169 0.669 0.338



Least stable: run P



Run P
Here is CdAg2 after structural relaxation from Alexandria via LeMat-Bulk. Energies are from PBE.

a = 5.887 Å, b = 4.234 Å, c = 9.064 Å
α = 90.00°, β = 90.00°, γ = 90.00°
Positions (direct):
Ag: 0.117 0.250 0.249
Ag: 0.129 0.250 0.582
Ag: 0.371 0.750 0.082
Ag: 0.383 0.750 0.749
Ag: 0.617 0.250 0.251
Ag: 0.629 0.250 0.918
Ag: 0.871 0.750 0.418
Ag: 0.883 0.750 0.751
Cd: 0.135 0.250 0.912
Cd: 0.365 0.750 0.412
Cd: 0.635 0.250 0.588
Cd: 0.865 0.750 0.088



Run Q
Here is CdAg2 after structural relaxation from Alexandria via LeMat-Bulk. Energies are from PBE.

a = 4.800 Å, b = 4.800 Å, c = 3.026 Å
α = 90.00°, β = 90.00°, γ = 90.00°
Positions (direct):
Ag: 0.000 0.500 0.500
Ag: 0.500 0.000 0.500
Cd: 0.000 0.000 0.000



Least stable: run Q



Run P
Here is CdAg2 after structural relaxation from Alexandria via LeMat-Bulk. Energies are from PBE.

a = 5.139 Å, b = 5.139 Å, c = 7.638 Å
α = 48.48°, β = 48.48°, γ = 60.72°
Positions (direct):
Cd: 0.844 0.156 0.750
Cd: 0.156 0.844 0.250
Ag: 0.826 0.502 0.253
Ag: 0.498 0.174 0.247
Ag: 0.174 0.498 0.747
Ag: 0.502 0.826 0.753



Run Q
Here is CdAg2 after structural relaxation from Alexandria via LeMat-Bulk. Energies are from PBE.

a = 4.717 Å, b = 4.717 Å, c = 2.941 Å
α = 90.00°, β = 90.00°, γ = 120.00°
Positions (direct):
Ag: 0.667 0.333 0.338
Ag: 0.333 0.667 0.662
Cd: 0.000 0.000 0.000



Least stable: run Q



Run P
Here is CdAg2 after structural relaxation from Alexandria via LeMat-Bulk. Energies are from PBE.

a = 3.111 Å, b = 3.982 Å, c = 5.217 Å
α = 112.43°, β = 107.35°, γ = 90.00°
Positions (direct):
Ag: 0.668 0.668 0.336
Ag: 0.332 0.332 0.664
Cd: 0.000 0.000 0.000



Run Q
Here is CdAg2 after structural relaxation from Alexandria via LeMat-Bulk. Energies are from PBE.

a = 8.147 Å, b = 8.147 Å, c = 2.976 Å
α = 90.00°, β = 90.00°, γ = 120.00°
Positions (direct):
Ag: 0.000 0.307 0.000
Ag: 0.000 0.640 0.500
Ag: 0.307 0.000 0.000
Ag: 0.693 0.693 0.000
Ag: 0.640 0.000 0.500
Ag: 0.360 0.360 0.500
Cd: 0.000 0.000 0.500
Cd: 0.333 0.667 0.000
Cd: 0.667 0.333 0.000



Least stable: run Q